Here is InMoP2O after structural relaxation from the Alexandria database. Energies are from PBE+U.

a b c (Å): 5.113 5.113 3.997
angles (deg): 90.00 90.00 90.00
Sites, in units of the cell vectors:
In  0.000  0.000  0.000
Mo  0.500  0.500  0.500
P  0.000  0.500  0.000
P  0.500  0.000  0.000
O  0.000  0.000  0.500

Calculated values
The value obtained for the energy above the most stable polymorph in this dataset is 794.5 meV/atom. The value obtained for the calculated total energy is -21.8 eV for the cell shown.